1.
Compound: BaMnBrO2
Source: Alexandria
Functional: GGA+U
Structure: relaxed

## Properties
The size of the total moment comes out at 16.00 μB per cell. The total DFT energy (no corrections) is -6.2649 eV per atom.

a = 6.0699 Å, b = 13.5617 Å, c = 5.6232 Å
α = 90.00°, β = 90.00°, γ = 90.00°
Space group Cmcm (No. 63)
Symmetry-distinct sites (fractional):
Ba 0.0000 0.1180 0.2500
Mn 0.0000 0.4943 0.2500
Br 0.0000 0.2636 0.7500
O 0.2156 0.5000 0.0000

2.
Compound: Ba2MnBr2O2
Source: Alexandria
Functional: GGA+U
Structure: relaxed

## Properties
The size of the total moment comes out at 10.00 μB per cell. The total DFT energy (no corrections) is -5.6677 eV per atom.

a = 4.3823 Å, b = 4.3823 Å, c = 17.2698 Å
α = 90.00°, β = 90.00°, γ = 90.00°
Space group I4/mmm (No. 139)
Symmetry-distinct sites (fractional):
Ba 0.0000 0.0000 0.1024
Mn 0.0000 0.0000 0.5000
Br 0.0000 0.0000 0.3220
O 0.0000 0.5000 0.0000

Which of these has the highest total DFT energy (no corrections)? Ba2MnBr2O2